1.
Below is a relaxed structure of Mg2SiCl, with properties calculated at the PBE level.

Calculated values
relative energy among the computed polymorphs	96	meV per atom
total magnetic moment	0.0	μB per formula unit

Structure (CIF):
```
data_Mg2SiCl
_symmetry_space_group_name_H-M 'P 1'
_symmetry_Int_Tables_number 1
_symmetry_space_group_name_Hall 'P 1'
_cell_length_a 5.586
_cell_length_b 5.586
_cell_length_c 4.594
_cell_angle_alpha 89.95
_cell_angle_beta 89.95
_cell_angle_gamma 33.78
loop_
_atom_site_label
_atom_site_fract_x
_atom_site_fract_y
_atom_site_fract_z
Si1 0.489 0.489 0.624
Mg1 0.009 0.009 0.125
Cl1 0.239 0.239 0.122
Mg2 0.763 0.763 0.629
```

***

2.
Below is a relaxed structure of MgSiCl3, with properties calculated at the PBE level.

Calculated values
relative energy among the computed polymorphs	0	meV per atom
total magnetic moment	1.0	μB per formula unit

Structure (CIF):
```
data_MgSiCl3
_symmetry_space_group_name_H-M 'P 1'
_symmetry_Int_Tables_number 1
_symmetry_space_group_name_Hall 'P 1'
_cell_length_a 4.905
_cell_length_b 4.905
_cell_length_c 4.905
_cell_angle_alpha 90.00
_cell_angle_beta 90.00
_cell_angle_gamma 90.00
loop_
_atom_site_label
_atom_site_fract_x
_atom_site_fract_y
_atom_site_fract_z
Cl1 0.000 0.000 0.500
Cl2 0.500 0.000 0.000
Cl3 0.000 0.500 0.000
Si1 0.500 0.500 0.500
Mg1 0.000 0.000 0.000
```

***

3.
Below is a relaxed structure of MgSiCl2, with properties calculated at the PBE level.

Calculated values
relative energy among the computed polymorphs	209	meV per atom
total magnetic moment	0.0	μB per formula unit

Structure (CIF):
```
data_MgSiCl2
_symmetry_space_group_name_H-M 'P 1'
_symmetry_Int_Tables_number 1
_symmetry_space_group_name_Hall 'P 1'
_cell_length_a 7.846
_cell_length_b 7.846
_cell_length_c 7.846
_cell_angle_alpha 155.89
_cell_angle_beta 144.59
_cell_angle_gamma 43.30
loop_
_atom_site_label
_atom_site_fract_x
_atom_site_fract_y
_atom_site_fract_z
Cl1 0.650 0.150 0.500
Si1 0.376 0.876 0.500
Cl2 0.941 0.941 0.000
Mg1 0.534 0.534 0.000
```

***

4.
Below is a relaxed structure of MgSiCl2, with properties calculated at the PBE level.

Calculated values
relative energy among the computed polymorphs	548	meV per atom
total magnetic moment	0.0	μB per formula unit

Structure (CIF):
```
data_MgSiCl2
_symmetry_space_group_name_H-M 'P 1'
_symmetry_Int_Tables_number 1
_symmetry_space_group_name_Hall 'P 1'
_cell_length_a 9.238
_cell_length_b 9.238
_cell_length_c 9.238
_cell_angle_alpha 21.34
_cell_angle_beta 21.34
_cell_angle_gamma 21.34
loop_
_atom_site_label
_atom_site_fract_x
_atom_site_fract_y
_atom_site_fract_z
Si1 0.500 0.500 0.500
Mg1 0.000 0.000 0.000
Cl1 0.907 0.907 0.907
Cl2 0.093 0.093 0.093
```

***

5.
Below is a relaxed structure of Mg2SiCl, with properties calculated at the PBE level.

Calculated values
relative energy among the computed polymorphs	332	meV per atom
total magnetic moment	0.0	μB per formula unit

Structure (CIF):
```
data_Mg2SiCl
_symmetry_space_group_name_H-M 'P 1'
_symmetry_Int_Tables_number 1
_symmetry_space_group_name_Hall 'P 1'
_cell_length_a 5.428
_cell_length_b 5.428
_cell_length_c 5.428
_cell_angle_alpha 142.72
_cell_angle_beta 103.32
_cell_angle_gamma 88.51
loop_
_atom_site_label
_atom_site_fract_x
_atom_site_fract_y
_atom_site_fract_z
Mg1 0.507 0.507 0.000
Si1 0.250 0.750 0.500
Cl1 0.750 0.250 0.500
Mg2 0.993 0.993 0.000
```

***

6.
Below is a relaxed structure of MgSiCl2, with properties calculated at the PBE level.

Calculated values
relative energy among the computed polymorphs	299	meV per atom
total magnetic moment	0.0	μB per formula unit

Structure (CIF):
```
data_MgSiCl2
_symmetry_space_group_name_H-M 'P 1'
_symmetry_Int_Tables_number 1
_symmetry_space_group_name_Hall 'P 1'
_cell_length_a 4.834
_cell_length_b 4.834
_cell_length_c 4.850
_cell_angle_alpha 66.34
_cell_angle_beta 66.34
_cell_angle_gamma 101.24
loop_
_atom_site_label
_atom_site_fract_x
_atom_site_fract_y
_atom_site_fract_z
Cl1 0.000 0.000 0.000
Cl2 0.500 0.500 0.000
Mg1 0.500 0.000 0.500
Si1 0.000 0.500 0.500
```

***

Question: Which formula does entry 5 have?
Answer: Mg2SiCl